Version w
YHg3W | PBE-GGA | optimized geometry

Lattice parameters (Å, degrees): 5.201 5.201 5.201 90.00 90.00 90.00
Space group Pm-3m (No. 221)
Inequivalent atoms, fractional coordinates:
Y  0.000  0.000  0.000 x1
Hg  0.000  0.500  0.500 x3
W  0.500  0.500  0.500 x1


Version x
YHg3W | PBE-GGA | optimized geometry

Lattice parameters (Å, degrees): 5.713 5.713 5.713 90.00 90.00 90.00
Space group Pm-3m (No. 221)
Inequivalent atoms, fractional coordinates:
Y  0.000  0.000  0.000 x1
Hg  0.000  0.000  0.500 x3
W  0.500  0.500  0.500 x1


The computed energies, referenced to the most stable structure and given in eV/atom, are version w 0.000; version x 0.881.